The following is a PBE calculation of crystalline AcCuNiSb2 at its relaxed geometry, from Alexandria.

Output
Total DFT energy (no corrections)   -4.971 eV/atom
Uncorrected formation energy   -2.6 eV per formula unit

a = 4.4823 Å, b = 4.4823 Å, c = 11.3276 Å
α = 90.00°, β = 90.00°, γ = 90.00°
Space group I-4m2 (No. 119)
Unique sites:
Ac  0.0000  0.0000  0.0000
Cu  0.0000  0.5000  0.2500
Ni  0.0000  0.5000  0.7500
Sb  0.0000  0.0000  0.3626

---

The following is a PBE calculation of crystalline Eu2AlNO3 at its relaxed geometry, from Alexandria.

Output
Total DFT energy (no corrections)   -9.128 eV/atom
Uncorrected formation energy   -16.4 eV per formula unit

a = 3.7254 Å, b = 3.7254 Å, c = 12.4406 Å
α = 90.00°, β = 90.00°, γ = 90.00°
Space group I4mm (No. 107)
Unique sites:
Eu  0.0000  0.0000  0.0000
Eu  0.0000  0.0000  0.2877
Al  0.0000  0.0000  0.6456
N  0.0000  0.0000  0.4773
O  0.0000  0.0000  0.8091
O  0.0000  0.5000  0.1477

---

The following is a PBE calculation of crystalline AcZn2Cd5 at its relaxed geometry, from Alexandria.

Output
Energy relative to the elements   -0.20 eV per atom
Total DFT energy (no corrections)   -1.599 eV/atom

a = 4.4845 Å, b = 7.9726 Å, c = 10.4470 Å
α = 90.00°, β = 90.00°, γ = 90.00°
Space group Immm (No. 71)
Unique sites:
Ac  0.0000  0.0000  0.0000
Zn  0.0000  0.5000  0.2594
Cd  0.0000  0.1878  0.3518
Cd  0.0000  0.5000  0.0000

---

The following is a PBE calculation of crystalline BSb2Cl at its relaxed geometry, from Alexandria.

Output
Total DFT energy (no corrections)   -3.741 eV/atom
Uncorrected formation energy   1.8 eV per formula unit

a = 6.5042 Å, b = 6.5042 Å, c = 9.9611 Å
α = 90.00°, β = 90.00°, γ = 90.00°
Space group I-42d (No. 122)
Unique sites:
B  0.0000  0.0000  0.0000
Sb  0.1600  0.2500  0.1250
Cl  0.0000  0.0000  0.5000

---

The following is a PBE calculation of crystalline NbPt5Rh4 at its relaxed geometry, from Alexandria.

Output
Energy relative to the elements   -0.01 eV per atom
Total DFT energy (no corrections)   -6.977 eV/atom

a = 13.7218 Å, b = 3.9631 Å, c = 6.8689 Å
α = 90.00°, β = 119.18°, γ = 90.00°
Space group C2/m (No. 12)
Unique sites:
Nb  0.0000  0.0000  0.0000
Pt  0.0000  0.0000  0.5000
Pt  0.1669  0.5000  0.7128
Pt  0.1721  0.5000  0.1144
Rh  0.0240  0.5000  0.2664
Rh  0.1751  0.0000  0.4192

---

The following is a PBE calculation of crystalline ErBe4Rh at its relaxed geometry, from Alexandria.

Output
Energy relative to the elements   -0.39 eV per atom
Total DFT energy (no corrections)   -4.863 eV/atom

a = 6.5709 Å, b = 6.5709 Å, c = 6.5709 Å
α = 90.00°, β = 90.00°, γ = 90.00°
Space group F-43m (No. 216)
Unique sites:
Er  0.0000  0.0000  0.0000
Be  0.1218  0.1218  0.6218
Rh  0.2500  0.2500  0.2500

---

The following is a PBE calculation of crystalline VZnAu at its relaxed geometry, from Alexandria.

Output
Energy relative to the elements   -0.09 eV per atom
Total DFT energy (no corrections)   -4.643 eV/atom

a = 3.6572 Å, b = 12.7792 Å, c = 3.8776 Å
α = 90.00°, β = 90.00°, γ = 90.00°
Space group Cmcm (No. 63)
Unique sites:
V  0.0000  0.2472  0.2500
Zn  0.0000  0.4115  0.7500
Au  0.0000  0.0872  0.7500

---

The following is a PBE calculation of crystalline AgSbC2O6 at its relaxed geometry, from Alexandria.

Output
Total DFT energy (no corrections)   -6.616 eV/atom
Uncorrected formation energy   -11.0 eV per formula unit

a = 10.0886 Å, b = 9.3118 Å, c = 7.8949 Å
α = 90.00°, β = 124.29°, γ = 90.00°
Space group C2/c (No. 15)
Unique sites:
Ag  0.0000  0.0030  0.2500
Sb  0.0000  0.4401  0.2500
C  0.2326  0.3890  0.8069
O  0.0811  0.3982  0.6395
O  0.1595  0.1796  0.1867
O  0.2504  0.0332  0.0407

---

The following is a PBE calculation of crystalline Li3Er3GaS8 at its relaxed geometry, from Alexandria.

Output
Total DFT energy (no corrections)   -5.178 eV/atom
Uncorrected formation energy   -22.2 eV per formula unit

a = 7.6815 Å, b = 7.6815 Å, c = 18.1438 Å
α = 90.00°, β = 90.00°, γ = 120.00°
Space group R-3m (No. 166, hexagonal axes)
Unique sites:
Li  0.0000  0.5000  0.0000
Er  0.0000  0.5000  0.5000
Ga  0.0000  0.0000  0.5000
S  0.0000  0.0000  0.2505
S  0.0226  0.5113  0.2466

---

The following is a PBE calculation of crystalline HfZrCuRh at its relaxed geometry, from Alexandria.

Output
Energy relative to the elements   -0.50 eV per atom
Total DFT energy (no corrections)   -7.985 eV/atom

a = 4.2883 Å, b = 3.2825 Å, c = 10.1996 Å
α = 90.00°, β = 90.00°, γ = 90.00°
Space group Amm2 (No. 38)
Unique sites:
Hf  0.0000  0.0000  0.0000
Zr  0.5000  0.0000  0.7108
Cu  0.0000  0.0000  0.2744
Rh  0.5000  0.0000  0.4446

---

The following is a PBE calculation of crystalline Sb2Rh at its relaxed geometry, from Alexandria.

Output
Total DFT energy (no corrections)   -5.438 eV/atom
Uncorrected formation energy   -0.7 eV per formula unit

a = 3.2523 Å, b = 3.2523 Å, c = 12.6666 Å
α = 90.00°, β = 90.00°, γ = 90.00°
Space group I4/mmm (No. 139)
Unique sites:
Sb  0.0000  0.0000  0.1301
Rh  0.0000  0.0000  0.5000

---

The following is a PBE calculation of crystalline RbCe2OsO8 at its relaxed geometry, from Alexandria.

Output
Total DFT energy (no corrections)   -7.411 eV/atom
Uncorrected formation energy   -25.2 eV per formula unit

a = 5.0273 Å, b = 5.2005 Å, c = 7.2524 Å
α = 89.30°, β = 88.43°, γ = 88.76°
Space group P-1 (No. 2)
Unique sites:
Rb  0.0000  0.0000  0.0000
Ce  0.4916  0.4985  0.2452
Os  0.0000  0.0000  0.5000
O  0.1987  0.8262  0.6767
O  0.2130  0.8338  0.3158
O  0.2574  0.2838  0.4998
O  0.2873  0.3968  0.0006

---

no.,magnetic moment (μB/f.u.)
1,0.0
2,12.0
3,0.0
4,0.0
5,0.0
6,0.0
7,0.0
8,0.0
9,0.0
10,0.0
11,0.0
12,1.0